[1]
# LaDy2HoEr PBE-GGA optimized geometry
# Total magnetic moment ... 0.0 μB per cell
# DFT formation energy ... 8.4 kcal/mol of atoms
data_LaDy2HoEr
_cell_length_a 8.4177
_cell_length_b 11.5105
_cell_length_c 7.2231
_cell_angle_alpha 90.00
_cell_angle_beta 90.00
_cell_angle_gamma 90.00
_symmetry_space_group_name_H-M 'C m c m'
_symmetry_Int_Tables_number 63
_symmetry_space_group_name_Hall '-C 2c 2'
loop_
_atom_site_label
_atom_site_fract_x
_atom_site_fract_y
_atom_site_fract_z
La1 0.0000 0.2327 0.2500
Dy1 0.1906 0.0000 0.0000
Ho1 0.0000 0.4978 0.7500
Er1 0.0000 0.2191 0.7500

=====

[2]
# LaDyHo2Er5 PBE-GGA optimized geometry
# Total magnetic moment ... 0.0 μB per cell
# DFT formation energy ... 6.6 kcal/mol of atoms
data_LaDyHo2Er5
_cell_length_a 8.9545
_cell_length_b 8.9545
_cell_length_c 14.5571
_cell_angle_alpha 90.00
_cell_angle_beta 90.00
_cell_angle_gamma 90.00
_symmetry_space_group_name_H-M 'I 4/m c m'
_symmetry_Int_Tables_number 140
_symmetry_space_group_name_Hall '-I 4 2c'
loop_
_atom_site_label
_atom_site_fract_x
_atom_site_fract_y
_atom_site_fract_z
La1 0.0000 0.0000 0.2500
Dy1 0.0000 0.5000 0.2500
Ho1 0.1120 0.3880 0.0000
Er1 0.0000 0.0000 0.0000
Er2 0.2041 0.2959 0.3705

=====

> What is the DFT formation energy in the second record?

6.6 kcal/mol of atoms